Record 1
Density functional theory data (PBE) for a geometry-optimized IrPbIN2 structure.

Results
**Offset from the most stable computed form**: 25.11 kcal/mol of atoms
**Theoretical density**: 8.31 g/cm3

Structure (CIF):
```
data_IrPbIN2
_chemical_formula_sum 'Ir1 Pb1 I1 N2'
_cell_length_a 4.123
_cell_length_b 4.123
_cell_length_c 6.521
_cell_angle_alpha 90.00
_cell_angle_beta 90.00
_cell_angle_gamma 90.00
_space_group_name_H-M_alt 'P 1'
_space_group_IT_number 1
loop_
_space_group_symop_operation_xyz
'x,y,z'
loop_
_atom_site_label
_atom_site_fract_x
_atom_site_fract_y
_atom_site_fract_z
Ir1 0.500 0.500 0.500
N1 0.000 0.500 0.000
N2 0.500 0.000 0.000
I1 0.000 0.000 0.500
Pb1 0.000 0.000 0.000
```

***

Record 2
Density functional theory data (PBE) for a geometry-optimized IrPbI2N structure.

Results
**Offset from the most stable computed form**: 35.48 kcal/mol of atoms
**Theoretical density**: 7.28 g/cm3

Structure (CIF):
```
data_IrPbI2N
_chemical_formula_sum 'Ir1 Pb1 I2 N1'
_cell_length_a 6.042
_cell_length_b 6.042
_cell_length_c 4.171
_cell_angle_alpha 90.00
_cell_angle_beta 90.00
_cell_angle_gamma 90.00
_space_group_name_H-M_alt 'P 1'
_space_group_IT_number 1
loop_
_space_group_symop_operation_xyz
'x,y,z'
loop_
_atom_site_label
_atom_site_fract_x
_atom_site_fract_y
_atom_site_fract_z
I1 0.500 0.000 0.000
I2 0.000 0.500 0.000
Pb1 0.000 0.000 0.000
N1 0.000 0.000 0.500
Ir1 0.500 0.500 0.500
```

***

Record 3
Density functional theory data (PBE) for a geometry-optimized IrPbI2N structure.

Results
**Offset from the most stable computed form**: 0.00 kcal/mol of atoms
**Theoretical density**: 8.64 g/cm3

Structure (CIF):
```
data_IrPbI2N
_chemical_formula_sum 'Ir1 Pb1 I2 N1'
_cell_length_a 5.830
_cell_length_b 5.830
_cell_length_c 3.772
_cell_angle_alpha 90.00
_cell_angle_beta 90.00
_cell_angle_gamma 90.00
_space_group_name_H-M_alt 'P 1'
_space_group_IT_number 1
loop_
_space_group_symop_operation_xyz
'x,y,z'
loop_
_atom_site_label
_atom_site_fract_x
_atom_site_fract_y
_atom_site_fract_z
Ir1 0.000 0.000 0.000
I1 0.000 0.500 0.000
I2 0.500 0.000 0.000
N1 0.000 0.000 0.500
Pb1 0.500 0.500 0.500
```

***

Record 4
Density functional theory data (PBE) for a geometry-optimized Pm8Ir3I4N structure.

Results
**Theoretical density**: 7.99 g/cm3

Structure (CIF):
```
data_Pm8Ir3I4N
_chemical_formula_sum 'Pm8 Ir3 I4 N1'
_cell_length_a 8.220
_cell_length_b 9.321
_cell_length_c 8.225
_cell_angle_alpha 116.20
_cell_angle_beta 119.98
_cell_angle_gamma 90.00
_space_group_name_H-M_alt 'P 1'
_space_group_IT_number 1
loop_
_space_group_symop_operation_xyz
'x,y,z'
loop_
_atom_site_label
_atom_site_fract_x
_atom_site_fract_y
_atom_site_fract_z
Pm1 0.216 0.675 0.959
Pm2 0.784 0.325 0.567
Pm3 0.743 0.675 0.959
Pm4 0.729 0.687 0.458
Pm5 0.271 0.313 0.542
Pm6 0.216 0.675 0.433
Pm7 0.784 0.325 0.041
Pm8 0.257 0.325 0.041
N1 0.000 0.500 0.000
Ir1 0.500 0.500 0.000
Ir2 0.500 0.500 0.500
Ir3 0.000 0.500 0.500
I1 0.000 0.000 0.500
I2 0.500 0.000 0.000
I3 0.000 0.000 0.000
I4 0.500 0.000 0.500
```

***

Record 5
Density functional theory data (PBE) for a geometry-optimized Pm6Ir2I3N structure.

Results
**Theoretical density**: 7.94 g/cm3

Structure (CIF):
```
data_Pm6Ir2I3N
_chemical_formula_sum 'Pm6 Ir2 I3 N1'
_cell_length_a 7.055
_cell_length_b 7.055
_cell_length_c 8.314
_cell_angle_alpha 98.03
_cell_angle_beta 98.03
_cell_angle_gamma 119.86
_space_group_name_H-M_alt 'P 1'
_space_group_IT_number 1
loop_
_space_group_symop_operation_xyz
'x,y,z'
loop_
_atom_site_label
_atom_site_fract_x
_atom_site_fract_y
_atom_site_fract_z
Pm1 0.256 0.256 0.823
Pm2 0.629 0.942 0.824
Pm3 0.744 0.744 0.177
Pm4 0.942 0.629 0.824
Pm5 0.058 0.371 0.176
Pm6 0.371 0.058 0.176
Ir1 0.333 0.667 0.000
Ir2 0.667 0.333 0.000
I1 0.167 0.833 0.500
I2 0.500 0.500 0.500
I3 0.833 0.167 0.500
N1 0.000 0.000 0.000
```

***

Record 6
Density functional theory data (PBE) for a geometry-optimized Pr8Ir3I4N structure.

Results
**Theoretical density**: 7.57 g/cm3

Structure (CIF):
```
data_Pr8Ir3I4N
_chemical_formula_sum 'Pr8 Ir3 I4 N1'
_cell_length_a 8.310
_cell_length_b 9.461
_cell_length_c 8.325
_cell_angle_alpha 116.18
_cell_angle_beta 119.94
_cell_angle_gamma 90.00
_space_group_name_H-M_alt 'P 1'
_space_group_IT_number 1
loop_
_space_group_symop_operation_xyz
'x,y,z'
loop_
_atom_site_label
_atom_site_fract_x
_atom_site_fract_y
_atom_site_fract_z
Pr1 0.255 0.323 0.039
Pr2 0.218 0.678 0.436
Pr3 0.784 0.323 0.039
Pr4 0.782 0.322 0.564
Pr5 0.271 0.312 0.541
Pr6 0.745 0.677 0.961
Pr7 0.729 0.688 0.459
Pr8 0.216 0.677 0.961
I1 0.500 0.000 0.000
I2 0.000 0.000 0.000
I3 0.500 0.000 0.500
I4 0.000 0.000 0.500
Ir1 0.000 0.500 0.500
Ir2 0.500 0.500 0.500
Ir3 0.500 0.500 0.000
N1 0.000 0.500 0.000
```

***

Number 1: formation energy from raw total energies 2.282 eV per atom, spin magnetization 3.518 μB per formula unit. Number 2: formation energy from raw total energies 1.796 eV per atom, spin magnetization 3.000 μB per formula unit. Number 3: formation energy from raw total energies 0.258 eV per atom, spin magnetization 0.000 μB per formula unit. Number 4: formation energy from raw total energies -0.969 eV per atom, spin magnetization 0.000 μB per formula unit. Number 5: formation energy from raw total energies -1.012 eV per atom, spin magnetization 0.000 μB per formula unit. Number 6: formation energy from raw total energies -0.952 eV per atom, spin magnetization 0.000 μB per formula unit.